No. 1
Ca2AgTeO6: relaxed, PBE-GGA. Values from VASP.

Cell and atoms, written as Quantum ESPRESSO input:
```
&SYSTEM
  ibrav = 0, nat = 10, ntyp = 4
/
ATOMIC_SPECIES
Ca 40.08 Ca.upf
Ag 107.87 Ag.upf
Te 127.60 Te.upf
O 16.00 O.upf
CELL_PARAMETERS angstrom
5.533 0.000 0.000
-0.008 5.693 0.000
-2.753 -2.683 4.418
ATOMIC_POSITIONS crystal
Ca 0.000 0.000 0.000
Ca 0.497 0.522 0.013
Ag 0.727 0.182 0.471
Te 0.216 0.652 0.442
O 0.104 0.388 0.532
O 0.341 0.866 0.311
O 0.418 0.384 0.293
O 0.533 0.844 0.853
O 0.899 0.421 0.024
O 0.961 0.863 0.533
```

## Properties
- SG: No. 1

=====

No. 2
Pr4IrS2Cl: relaxed, PBE-GGA. Values from VASP.

Cell and atoms, written as Quantum ESPRESSO input:
```
&SYSTEM
  ibrav = 0, nat = 8, ntyp = 4
/
ATOMIC_SPECIES
Pr 140.91 Pr.upf
Ir 192.22 Ir.upf
S 32.06 S.upf
Cl 35.45 Cl.upf
CELL_PARAMETERS angstrom
7.278 0.000 0.000
0.000 4.063 0.000
-2.330 0.000 6.933
ATOMIC_POSITIONS crystal
Pr 0.233 0.000 0.236
Pr 0.234 0.500 0.744
Pr 0.766 0.500 0.256
Pr 0.767 0.000 0.764
Ir 0.000 0.000 0.500
S 0.000 0.500 0.000
S 0.500 0.000 0.000
Cl 0.500 0.500 0.500
```

## Properties
- SG: No. 10

=====

No. 3
LaCeSi2Ir2: relaxed, PBE-GGA. Values from VASP.

Cell and atoms, written as Quantum ESPRESSO input:
```
&SYSTEM
  ibrav = 0, nat = 6, ntyp = 4
/
ATOMIC_SPECIES
La 138.91 La.upf
Ce 140.12 Ce.upf
Si 28.09 Si.upf
Ir 192.22 Ir.upf
CELL_PARAMETERS angstrom
4.176 0.000 0.000
-2.088 3.617 0.000
0.000 0.000 8.365
ATOMIC_POSITIONS crystal
La 0.000 0.000 0.000
Ce 0.000 0.000 0.500
Si 0.333 0.667 0.258
Si 0.667 0.333 0.742
Ir 0.333 0.667 0.735
Ir 0.667 0.333 0.265
```

## Properties
- SG: No. 164

=====

No. 4
Si2AgH: relaxed, PBE-GGA. Values from VASP.

Cell and atoms, written as Quantum ESPRESSO input:
```
&SYSTEM
  ibrav = 0, nat = 16, ntyp = 3
/
ATOMIC_SPECIES
Si 28.09 Si.upf
Ag 107.87 Ag.upf
H 1.01 H.upf
CELL_PARAMETERS angstrom
6.044 0.000 0.000
0.000 6.044 0.000
0.000 0.000 6.044
ATOMIC_POSITIONS crystal
Si 0.250 0.250 0.250
Si 0.250 0.250 0.750
Si 0.250 0.750 0.250
Si 0.250 0.750 0.750
Si 0.750 0.250 0.250
Si 0.750 0.250 0.750
Si 0.750 0.750 0.250
Si 0.750 0.750 0.750
Ag 0.000 0.000 0.000
Ag 0.000 0.500 0.500
Ag 0.500 0.000 0.500
Ag 0.500 0.500 0.000
H 0.000 0.000 0.500
H 0.000 0.500 0.000
H 0.500 0.000 0.000
H 0.500 0.500 0.500
```

## Properties
- Excess energy over the best structure of this formula in the dataset: 142 meV/atom
- SG: No. 225

=====

No. 5
SbCl: relaxed, PBE-GGA. Values from VASP.

Cell and atoms, written as Quantum ESPRESSO input:
```
&SYSTEM
  ibrav = 0, nat = 12, ntyp = 2
/
ATOMIC_SPECIES
Sb 121.76 Sb.upf
Cl 35.45 Cl.upf
CELL_PARAMETERS angstrom
8.396 0.000 0.000
0.000 8.396 0.000
0.000 0.000 8.396
ATOMIC_POSITIONS crystal
Sb 0.000 0.250 0.500
Sb 0.000 0.750 0.500
Sb 0.250 0.500 0.000
Sb 0.500 0.000 0.250
Sb 0.500 0.000 0.750
Sb 0.750 0.500 0.000
Cl 0.000 0.500 0.250
Cl 0.000 0.500 0.750
Cl 0.250 0.000 0.500
Cl 0.500 0.250 0.000
Cl 0.500 0.750 0.000
Cl 0.750 0.000 0.500
```

## Properties
- Excess energy over the best structure of this formula in the dataset: 1059 meV/atom
- SG: No. 223

=====

No. 6
K2Si2Pt3: relaxed, PBE-GGA. Values from VASP.

Cell and atoms, written as Quantum ESPRESSO input:
```
&SYSTEM
  ibrav = 0, nat = 14, ntyp = 3
/
ATOMIC_SPECIES
K 39.10 K.upf
Si 28.09 Si.upf
Pt 195.08 Pt.upf
CELL_PARAMETERS angstrom
12.612 0.000 0.000
0.000 3.927 0.000
-4.602 0.000 6.525
ATOMIC_POSITIONS crystal
K 0.137 0.000 0.256
K 0.363 0.500 0.744
K 0.637 0.500 0.256
K 0.863 0.000 0.744
Si 0.122 0.000 0.733
Si 0.378 0.500 0.267
Si 0.622 0.500 0.733
Si 0.878 0.000 0.267
Pt 0.000 0.500 0.500
Pt 0.158 0.500 0.924
Pt 0.342 0.000 0.076
Pt 0.500 0.000 0.500
Pt 0.658 0.000 0.924
Pt 0.842 0.500 0.076
```

## Properties
- SG: No. 12

=====

No. 7
LiTe4Au: relaxed, PBE-GGA. Values from VASP.

Cell and atoms, written as Quantum ESPRESSO input:
```
&SYSTEM
  ibrav = 0, nat = 6, ntyp = 3
/
ATOMIC_SPECIES
Li 6.94 Li.upf
Te 127.60 Te.upf
Au 196.97 Au.upf
CELL_PARAMETERS angstrom
0.000 4.498 4.498
4.498 0.000 4.498
4.498 4.498 0.000
ATOMIC_POSITIONS crystal
Li 0.000 0.000 0.000
Te 0.128 0.624 0.624
Te 0.624 0.128 0.624
Te 0.624 0.624 0.128
Te 0.624 0.624 0.624
Au 0.250 0.250 0.250
```

## Properties
- SG: No. 216

=====

No. 8
MgCoAs2: relaxed, PBE-GGA. Values from VASP.

Cell and atoms, written as Quantum ESPRESSO input:
```
&SYSTEM
  ibrav = 0, nat = 8, ntyp = 3
/
ATOMIC_SPECIES
Mg 24.30 Mg.upf
Co 58.93 Co.upf
As 74.92 As.upf
CELL_PARAMETERS angstrom
5.574 0.000 0.000
0.000 6.963 0.000
0.000 0.000 3.285
ATOMIC_POSITIONS crystal
Mg 0.000 0.000 0.000
Mg 0.500 0.500 0.000
Co 0.000 0.500 0.000
Co 0.500 0.000 0.000
As 0.250 0.250 0.500
As 0.250 0.750 0.500
As 0.750 0.250 0.500
As 0.750 0.750 0.500
```

## Properties
- DFT formation energy: 0.0477 eV per atom
- SG: No. 65

=====

No. 9
LaSm2Ho4Th: relaxed, PBE-GGA. Values from VASP.

Cell and atoms, written as Quantum ESPRESSO input:
```
&SYSTEM
  ibrav = 0, nat = 8, ntyp = 4
/
ATOMIC_SPECIES
La 138.91 La.upf
Sm 150.36 Sm.upf
Ho 164.93 Ho.upf
Th 232.04 Th.upf
CELL_PARAMETERS angstrom
5.111 0.000 0.000
0.000 5.126 0.000
0.000 0.000 9.966
ATOMIC_POSITIONS crystal
La 0.000 0.000 0.000
Sm 0.000 0.000 0.500
Sm 0.500 0.500 0.000
Ho 0.000 0.500 0.256
Ho 0.000 0.500 0.744
Ho 0.500 0.000 0.257
Ho 0.500 0.000 0.743
Th 0.500 0.500 0.500
```

## Properties
- DFT formation energy: 0.0334 eV per atom
- SG: No. 47

=====

No. 10
Ac8Os3BrCl4: relaxed, PBE-GGA. Values from VASP.

Cell and atoms, written as Quantum ESPRESSO input:
```
&SYSTEM
  ibrav = 0, nat = 16, ntyp = 4
/
ATOMIC_SPECIES
Ac 227.00 Ac.upf
Os 190.23 Os.upf
Br 79.90 Br.upf
Cl 35.45 Cl.upf
CELL_PARAMETERS angstrom
4.446 2.567 7.844
-4.446 2.567 7.844
0.000 -5.134 7.844
ATOMIC_POSITIONS crystal
Ac 0.205 0.750 0.750
Ac 0.235 0.235 0.235
Ac 0.250 0.250 0.795
Ac 0.250 0.795 0.250
Ac 0.750 0.205 0.750
Ac 0.750 0.750 0.205
Ac 0.765 0.765 0.765
Ac 0.795 0.250 0.250
Os 0.000 0.000 0.500
Os 0.000 0.500 0.000
Os 0.500 0.000 0.000
Br 0.500 0.500 0.500
Cl 0.000 0.000 0.000
Cl 0.000 0.500 0.500
Cl 0.500 0.000 0.500
Cl 0.500 0.500 0.000
```

## Properties
- SG: No. 166

=====

No. 11
FeCu2: relaxed, PBE-GGA. Values from VASP.

Cell and atoms, written as Quantum ESPRESSO input:
```
&SYSTEM
  ibrav = 0, nat = 6, ntyp = 2
/
ATOMIC_SPECIES
Fe 55.84 Fe.upf
Cu 63.55 Cu.upf
CELL_PARAMETERS angstrom
4.138 0.000 0.000
-2.069 3.584 0.000
0.000 0.000 4.955
ATOMIC_POSITIONS crystal
Fe 0.333 0.667 0.250
Fe 0.667 0.333 0.750
Cu 0.000 0.000 0.000
Cu 0.000 0.000 0.500
Cu 0.333 0.667 0.750
Cu 0.667 0.333 0.250
```

## Properties
- DFT formation energy: 0.2544 eV per atom
- SG: No. 194

=====

No. 12
LiMg: relaxed, PBE-GGA. Values from VASP.

Cell and atoms, written as Quantum ESPRESSO input:
```
&SYSTEM
  ibrav = 0, nat = 12, ntyp = 2
/
ATOMIC_SPECIES
Li 6.94 Li.upf
Mg 24.30 Mg.upf
CELL_PARAMETERS angstrom
4.857 0.000 0.000
0.000 3.546 0.000
0.000 0.000 14.579
ATOMIC_POSITIONS crystal
Li 0.000 0.000 0.000
Li 0.000 0.000 0.336
Li 0.000 0.500 0.500
Li 0.000 0.500 0.836
Li 0.500 0.000 0.503
Li 0.500 0.500 0.003
Mg 0.000 0.000 0.669
Mg 0.000 0.500 0.169
Mg 0.500 0.000 0.165
Mg 0.500 0.000 0.839
Mg 0.500 0.500 0.339
Mg 0.500 0.500 0.665
```

## Properties
- DFT formation energy: -0.0311 eV per atom
- SG: No. 38

=====

No. 13
Co2Ir2Ru: relaxed, PBE-GGA. Values from VASP.

Cell and atoms, written as Quantum ESPRESSO input:
```
&SYSTEM
  ibrav = 0, nat = 5, ntyp = 3
/
ATOMIC_SPECIES
Co 58.93 Co.upf
Ir 192.22 Ir.upf
Ru 101.07 Ru.upf
CELL_PARAMETERS angstrom
2.682 0.000 0.000
-1.341 2.322 0.000
0.000 0.000 10.583
ATOMIC_POSITIONS crystal
Co 0.333 0.667 0.411
Co 0.667 0.333 0.589
Ir 0.333 0.667 0.790
Ir 0.667 0.333 0.210
Ru 0.000 0.000 0.000
```

## Properties
- DFT formation energy: 0.0236 eV per atom
- Excess energy over the best structure of this formula in the dataset: 0 meV/atom
- SG: No. 164

=====

No. 14
La2ScS: relaxed, PBE-GGA. Values from VASP.

Cell and atoms, written as Quantum ESPRESSO input:
```
&SYSTEM
  ibrav = 0, nat = 16, ntyp = 3
/
ATOMIC_SPECIES
La 138.91 La.upf
Sc 44.96 Sc.upf
S 32.06 S.upf
CELL_PARAMETERS angstrom
10.131 0.000 0.000
0.000 10.131 0.000
0.000 0.000 4.922
ATOMIC_POSITIONS crystal
La 0.119 0.750 0.125
La 0.250 0.119 0.875
La 0.250 0.381 0.375
La 0.381 0.750 0.625
La 0.619 0.250 0.625
La 0.750 0.619 0.375
La 0.750 0.881 0.875
La 0.881 0.250 0.125
Sc 0.000 0.000 0.500
Sc 0.000 0.500 0.750
Sc 0.500 0.000 0.250
Sc 0.500 0.500 0.000
S 0.000 0.000 0.000
S 0.000 0.500 0.250
S 0.500 0.000 0.750
S 0.500 0.500 0.500
```

## Properties
- SG: No. 122

=====

No. 15
BaDyPaO6: relaxed, PBE-GGA. Values from VASP.

Cell and atoms, written as Quantum ESPRESSO input:
```
&SYSTEM
  ibrav = 0, nat = 9, ntyp = 4
/
ATOMIC_SPECIES
Ba 137.33 Ba.upf
Dy 162.50 Dy.upf
Pa 231.04 Pa.upf
O 16.00 O.upf
CELL_PARAMETERS angstrom
6.139 0.000 0.000
-3.069 5.316 0.000
0.000 0.000 4.823
ATOMIC_POSITIONS crystal
Ba 0.000 0.000 0.000
Dy 0.333 0.667 0.000
Pa 0.667 0.333 0.500
O 0.398 0.011 0.251
O 0.398 0.387 0.749
O 0.613 0.011 0.749
O 0.613 0.602 0.251
O 0.989 0.387 0.251
O 0.989 0.602 0.749
```

## Properties
- SG: No. 149

=====

No. 16
YZn2Ni2: relaxed, PBE-GGA. Values from VASP.

Cell and atoms, written as Quantum ESPRESSO input:
```
&SYSTEM
  ibrav = 0, nat = 10, ntyp = 3
/
ATOMIC_SPECIES
Y 88.91 Y.upf
Zn 65.41 Zn.upf
Ni 58.69 Ni.upf
CELL_PARAMETERS angstrom
7.037 0.000 0.000
0.000 7.037 0.000
0.000 0.000 3.155
ATOMIC_POSITIONS crystal
Y 0.000 0.000 0.000
Y 0.500 0.500 0.000
Zn 0.155 0.345 0.500
Zn 0.345 0.845 0.500
Zn 0.655 0.155 0.500
Zn 0.845 0.655 0.500
Ni 0.132 0.632 0.000
Ni 0.368 0.132 0.000
Ni 0.632 0.868 0.000
Ni 0.868 0.368 0.000
```

## Properties
- DFT formation energy: -0.2013 eV per atom
- Excess energy over the best structure of this formula in the dataset: 156 meV/atom
- SG: No. 127

=====

No. 17
HoRhPb: relaxed, PBE-GGA. Values from VASP.

Cell and atoms, written as Quantum ESPRESSO input:
```
&SYSTEM
  ibrav = 0, nat = 3, ntyp = 3
/
ATOMIC_SPECIES
Ho 164.93 Ho.upf
Rh 102.91 Rh.upf
Pb 207.20 Pb.upf
CELL_PARAMETERS angstrom
4.753 0.000 0.000
-2.377 4.117 0.000
0.000 0.000 3.399
ATOMIC_POSITIONS crystal
Ho 0.000 0.000 0.000
Rh 0.333 0.667 0.500
Pb 0.667 0.333 0.500
```

## Properties
- DFT formation energy: -0.5038 eV per atom
- SG: No. 187

=====

No. 18
Pt3RhO: relaxed, PBE-GGA. Values from VASP.

Cell and atoms, written as Quantum ESPRESSO input:
```
&SYSTEM
  ibrav = 0, nat = 5, ntyp = 3
/
ATOMIC_SPECIES
Pt 195.08 Pt.upf
Rh 102.91 Rh.upf
O 16.00 O.upf
CELL_PARAMETERS angstrom
4.798 0.000 0.000
0.000 4.798 0.000
0.000 0.000 4.798
ATOMIC_POSITIONS crystal
Pt 0.000 0.000 0.500
Pt 0.000 0.500 0.000
Pt 0.500 0.000 0.000
Rh 0.000 0.000 0.000
O 0.500 0.500 0.500
```

## Properties
- Excess energy over the best structure of this formula in the dataset: 1327 meV/atom
- SG: No. 221

=====

No. 19
MnSb2HI: relaxed, PBE-GGA. Values from VASP.

Cell and atoms, written as Quantum ESPRESSO input:
```
&SYSTEM
  ibrav = 0, nat = 5, ntyp = 4
/
ATOMIC_SPECIES
Mn 54.94 Mn.upf
Sb 121.76 Sb.upf
H 1.01 H.upf
I 126.90 I.upf
CELL_PARAMETERS angstrom
4.374 0.000 0.000
0.000 4.374 0.000
0.000 0.000 6.168
ATOMIC_POSITIONS crystal
Mn 0.000 0.000 0.000
Sb 0.000 0.500 0.500
Sb 0.500 0.000 0.500
H 0.500 0.500 0.500
I 0.500 0.500 0.000
```

## Properties
- Excess energy over the best structure of this formula in the dataset: 0 meV/atom
- SG: No. 123

=====

No. 20
CoSiOs2: relaxed, PBE-GGA. Values from VASP.

Cell and atoms, written as Quantum ESPRESSO input:
```
&SYSTEM
  ibrav = 0, nat = 8, ntyp = 3
/
ATOMIC_SPECIES
Co 58.93 Co.upf
Si 28.09 Si.upf
Os 190.23 Os.upf
CELL_PARAMETERS angstrom
3.914 0.000 0.000
0.000 2.729 0.000
0.000 0.000 9.555
ATOMIC_POSITIONS crystal
Co 0.000 0.000 0.000
Co 0.000 0.500 0.500
Si 0.500 0.000 0.881
Si 0.500 0.500 0.381
Os 0.000 0.000 0.261
Os 0.000 0.500 0.761
Os 0.500 0.000 0.621
Os 0.500 0.500 0.121
```

## Properties
- SG: No. 38

=====

no.,E (eV per cell)
1,-56.606
2,-50.254
3,-45.040
4,-56.764
5,-28.801
6,-69.255
7,-15.947
8,-35.618
9,-39.829
10,-90.759
11,-31.783
12,-21.424
13,-41.092
14,-92.215
15,-70.288
16,-43.163
17,-17.149
18,-20.561
19,-19.297
20,-70.493